[1]
First-principles (meta-GGA SCAN) data for BeAgRu2 at its PBEsol-relaxed geometry, as listed in Alexandria.

abc: 2.9099 4.2768 8.1610
angles: 90.00 90.00 90.00
Last column: nearest neighbours and their distance in Å.
Sites, in units of the cell vectors:
Be1 0.0000 0.0000 0.0000  6 Ru 2.34-2.59, 2 Ag 2.34
Be2 0.5000 0.5000 0.5000  6 Ru 2.34-2.59, 2 Ag 2.34
Ag1 0.0000 0.5000 0.2747  2 Be 2.34, 4 Ru 2.62
Ag2 0.5000 0.0000 0.7747  2 Be 2.34, 4 Ru 2.62
Ru1 0.0000 0.0000 0.4919  4 Be 2.59, 4 Ru 2.63-2.86, 4 Ag 2.73-2.78
Ru2 0.0000 0.5000 0.7240  2 Be 2.34
Ru3 0.5000 0.0000 0.2240  2 Be 2.34
Ru4 0.5000 0.5000 0.9919  4 Be 2.59, 4 Ru 2.63-2.86, 4 Ag 2.73-2.78

For the formation energy, the calculation gives 0.2848 eV/atom. Its space group is Imm2, No. 44. The calculation puts the volume at 101.6 Å³ per cell. As for the spin magnetization: 0.00 μB per cell.


[2]
First-principles (meta-GGA SCAN) data for BeAgRu2 at its PBEsol-relaxed geometry, as listed in Alexandria.

abc: 2.7666 4.3166 4.4617
angles: 90.00 90.00 90.00
Last column: nearest neighbours and their distance in Å.
Sites, in units of the cell vectors:
Be1 0.0000 0.0000 0.0000  4 Ag 2.56, 4 Ru 2.62, 2 Be 2.77
Ag1 0.5000 0.5000 0.0000  4 Be 2.56, 4 Ru 2.62, 2 Ag 2.77
Ru1 0.0000 0.5000 0.5000  6 Ru 2.56-2.77, 4 Ag 2.62
Ru2 0.5000 0.0000 0.5000  6 Ru 2.56-2.77, 4 Be 2.62

For the formation energy, the calculation gives 0.4438 eV/atom. Its space group is Pmmm, No. 47. The calculation puts the volume at 53.3 Å³ per cell. As for the spin magnetization: 1.36 μB per cell.


[3]
First-principles (meta-GGA SCAN) data for Be2AgTeRu at its PBEsol-relaxed geometry, as listed in Alexandria.

abc: 4.1644 4.1644 5.0828
angles: 90.00 90.00 90.00
Last column: nearest neighbours and their distance in Å.
Sites, in units of the cell vectors:
Be1 0.0000 0.5000 0.0000  2 Ru 2.08
Be2 0.5000 0.0000 0.0000  2 Ru 2.08
Ag1 0.0000 0.0000 0.5000  2 Ru 2.54
Te1 0.5000 0.5000 0.5000  4 Ag 2.94, 8 Be 3.29
Ru1 0.0000 0.0000 0.0000  4 Be 2.08

Its space group is P4/mmm, No. 123. The calculation puts the volume at 88.1 Å³ per cell. As for the spin magnetization: 0.00 μB per cell. The calculation puts the energy at -21.568 eV/atom.


[4]
First-principles (meta-GGA SCAN) data for BeAgSb3 at its PBEsol-relaxed geometry, as listed in Alexandria.

abc: 5.2479 5.2479 5.2479
angles: 90.00 90.00 90.00
Last column: nearest neighbours and their distance in Å.
Sites, in units of the cell vectors:
Be1 0.0000 0.0000 0.0000  12 Sb 3.71
Ag1 0.5000 0.5000 0.5000  6 Sb 2.62
Sb1 0.0000 0.5000 0.5000  2 Ag 2.62
Sb2 0.5000 0.0000 0.5000  2 Ag 2.62
Sb3 0.5000 0.5000 0.0000  2 Ag 2.62

Its space group is Pm-3m, No. 221. The energy relative to the lowest polymorph listed for this composition is 0.616 eV per atom. The calculation puts the volume at 144.5 Å³ per cell. As for the spin magnetization: 0.00 μB per cell.


[5]
First-principles (meta-GGA SCAN) data for BeAg2Sb at its PBEsol-relaxed geometry, as listed in Alexandria.

abc: 4.1898 4.1985 7.7948
angles: 90.00 90.00 90.00
Last column: nearest neighbours and their distance in Å.
Sites, in units of the cell vectors:
Be1 0.0000 0.0000 0.0000  8 Ag 2.53
Be2 0.5000 0.5000 0.0000  8 Ag 2.53
Ag1 0.0000 0.5000 0.1822  4 Be 2.53
Ag2 0.0000 0.5000 0.8178  4 Be 2.53
Ag3 0.5000 0.0000 0.1822  4 Be 2.53
Ag4 0.5000 0.0000 0.8178  4 Be 2.53
Sb1 0.0000 0.0000 0.5000  4 Sb 2.97, 8 Ag 3.24-3.25
Sb2 0.5000 0.5000 0.5000  4 Sb 2.97, 8 Ag 3.24-3.25

Its space group is Cmmm, No. 65. The calculation puts the volume at 137.1 Å³ per cell. As for the spin magnetization: 0.00 μB per cell. The calculation puts the energy at -25.889 eV/atom.


[6]
First-principles (meta-GGA SCAN) data for BeAgSb3 at its PBEsol-relaxed geometry, as listed in Alexandria.

abc: 4.8575 4.8575 4.8575
angles: 90.00 90.00 90.00
Last column: nearest neighbours and their distance in Å.
Sites, in units of the cell vectors:
Be1 0.0000 0.0000 0.0000  6 Sb 2.43
Ag1 0.5000 0.5000 0.5000  12 Sb 3.43
Sb1 0.0000 0.0000 0.5000  2 Be 2.43
Sb2 0.0000 0.5000 0.0000  2 Be 2.43
Sb3 0.5000 0.0000 0.0000  2 Be 2.43

Its space group is Pm-3m, No. 221. The energy relative to the lowest polymorph listed for this composition is 0.000 eV per atom. The calculation puts the volume at 114.6 Å³ per cell. As for the spin magnetization: 0.00 μB per cell.


[7]
First-principles (meta-GGA SCAN) data for ScBeAg2 at its PBEsol-relaxed geometry, as listed in Alexandria.

abc: 5.5329 9.2842 2.8744
angles: 90.00 116.96 90.00
Last column: nearest neighbours and their distance in Å.
Sites, in units of the cell vectors:
Sc1 0.0000 0.0000 0.0000  4 Ag 2.75, 4 Be 2.77-2.95, 2 Sc 2.87
Sc2 0.5000 0.5000 0.0000  4 Ag 2.75, 4 Be 2.77-2.95, 2 Sc 2.87
Be1 0.0000 0.5000 0.0000  4 Ag 2.75, 4 Sc 2.77-2.95, 2 Be 2.87
Be2 0.5000 0.0000 0.0000  4 Ag 2.75, 4 Sc 2.77-2.95, 2 Be 2.87
Ag1 0.2500 0.2500 0.5000  2 Be 2.75, 2 Sc 2.75, 6 Ag 2.77-2.95
Ag2 0.2500 0.7500 0.5000  2 Be 2.75, 2 Sc 2.75, 6 Ag 2.77-2.95
Ag3 0.7500 0.2500 0.5000  2 Be 2.75, 2 Sc 2.75, 6 Ag 2.77-2.95
Ag4 0.7500 0.7500 0.5000  2 Be 2.75, 2 Sc 2.75, 6 Ag 2.77-2.95

For the formation energy, the calculation gives 0.1981 eV/atom. Its space group is C2/m, No. 12. The energy relative to the lowest polymorph listed for this composition is 0.293 eV per atom. The calculation puts the volume at 131.6 Å³ per cell. As for the spin magnetization: 0.00 μB per cell.


[8]
First-principles (meta-GGA SCAN) data for ScBeAg2 at its PBEsol-relaxed geometry, as listed in Alexandria.

abc: 2.9972 2.9972 6.9234
angles: 90.00 90.00 90.00
Last column: nearest neighbours and their distance in Å.
Sites, in units of the cell vectors:
Sc1 0.0000 0.0000 0.0000  8 Ag 2.96, 4 Sc 3.00
Be1 0.0000 0.0000 0.5000  8 Ag 2.54
Ag1 0.5000 0.5000 0.2976  4 Be 2.54, 1 Ag 2.80
Ag2 0.5000 0.5000 0.7024  4 Be 2.54, 1 Ag 2.80

For the formation energy, the calculation gives -0.0948 eV/atom. Its space group is P4/mmm, No. 123. The energy relative to the lowest polymorph listed for this composition is 0.000 eV per atom. The calculation puts the volume at 62.2 Å³ per cell. As for the spin magnetization: 0.00 μB per cell.


[9]
First-principles (meta-GGA SCAN) data for Sc2BeAg at its PBEsol-relaxed geometry, as listed in Alexandria.

abc: 6.5750 6.5750 6.5750
angles: 90.00 90.00 90.00
Last column: nearest neighbours and their distance in Å.
Sites, in units of the cell vectors:
Sc1 0.2500 0.2500 0.2500  4 Be 2.85, 4 Ag 2.85
Sc2 0.2500 0.2500 0.7500  4 Be 2.85, 4 Ag 2.85
Sc3 0.2500 0.7500 0.2500  4 Be 2.85, 4 Ag 2.85
Sc4 0.2500 0.7500 0.7500  4 Be 2.85, 4 Ag 2.85
Sc5 0.7500 0.2500 0.2500  4 Be 2.85, 4 Ag 2.85
Sc6 0.7500 0.2500 0.7500  4 Be 2.85, 4 Ag 2.85
Sc7 0.7500 0.7500 0.2500  4 Be 2.85, 4 Ag 2.85
Sc8 0.7500 0.7500 0.7500  4 Ag 2.85, 4 Be 2.85
Be1 0.0000 0.0000 0.0000  8 Sc 2.85
Be2 0.0000 0.5000 0.5000  8 Sc 2.85
Be3 0.5000 0.0000 0.5000  8 Sc 2.85
Be4 0.5000 0.5000 0.0000  8 Sc 2.85
Ag1 0.0000 0.0000 0.5000  8 Sc 2.85
Ag2 0.0000 0.5000 0.0000  8 Sc 2.85
Ag3 0.5000 0.0000 0.0000  8 Sc 2.85
Ag4 0.5000 0.5000 0.5000  8 Sc 2.85

For the formation energy, the calculation gives -0.1622 eV/atom. Its space group is Fm-3m, No. 225. The energy relative to the lowest polymorph listed for this composition is 0.043 eV per atom. The calculation puts the volume at 284.2 Å³ per cell. As for the spin magnetization: 0.00 μB per cell.


[10]
First-principles (meta-GGA SCAN) data for Sc2BeAg at its PBEsol-relaxed geometry, as listed in Alexandria.

abc: 3.2354 3.2354 6.6059
angles: 90.00 90.00 90.00
Last column: nearest neighbours and their distance in Å.
Sites, in units of the cell vectors:
Sc1 0.0000 0.0000 0.2268  4 Be 2.73, 4 Ag 2.91, 1 Sc 3.00
Sc2 0.0000 0.0000 0.7732  4 Be 2.73, 4 Ag 2.91, 1 Sc 3.00
Be1 0.5000 0.5000 0.0000  8 Sc 2.73
Ag1 0.5000 0.5000 0.5000  8 Sc 2.91, 4 Ag 3.24

For the formation energy, the calculation gives -0.2051 eV/atom. Its space group is P4/mmm, No. 123. The energy relative to the lowest polymorph listed for this composition is 0.000 eV per atom. The calculation puts the volume at 69.1 Å³ per cell. As for the spin magnetization: 0.00 μB per cell.


[11]
First-principles (meta-GGA SCAN) data for Be2AgSe at its PBEsol-relaxed geometry, as listed in Alexandria.

abc: 4.1521 4.1521 3.1906
angles: 90.00 90.00 90.00
Last column: nearest neighbours and their distance in Å.
Sites, in units of the cell vectors:
Be1 0.0000 0.5000 0.0000  4 Se 2.62, 4 Ag 2.62
Be2 0.5000 0.0000 0.0000  4 Se 2.62, 4 Ag 2.62
Ag1 0.0000 0.0000 0.5000  8 Be 2.62
Se1 0.5000 0.5000 0.5000  8 Be 2.62

Its space group is P4/mmm, No. 123. The calculation puts the volume at 55.0 Å³ per cell. As for the spin magnetization: 0.00 μB per cell. The calculation puts the energy at -14.582 eV/atom.


[12]
First-principles (meta-GGA SCAN) data for BeAg2Se at its PBEsol-relaxed geometry, as listed in Alexandria.

abc: 2.8682 2.8682 26.4532
angles: 90.00 90.00 120.00
Last column: nearest neighbours and their distance in Å.
Sites, in units of the cell vectors:
Be1 0.0000 0.0000 0.0000  6 Ag 2.46
Be2 0.3333 0.6667 0.6667  6 Ag 2.46
Be3 0.6667 0.3333 0.3333  6 Ag 2.46
Ag1 0.0000 0.0000 0.2644  3 Be 2.46
Ag2 0.0000 0.0000 0.7356  3 Be 2.46
Ag3 0.3333 0.6667 0.4023  3 Be 2.46
Ag4 0.3333 0.6667 0.9311  3 Be 2.46
Ag5 0.6667 0.3333 0.0689  3 Be 2.46
Ag6 0.6667 0.3333 0.5977  3 Be 2.46
Se1 0.0000 0.0000 0.5000  6 Se 2.87, 6 Ag 3.07
Se2 0.3333 0.6667 0.1667  6 Se 2.87, 6 Ag 3.07
Se3 0.6667 0.3333 0.8333  6 Se 2.87, 6 Ag 3.07

Its space group is R-3m, No. 166. The energy relative to the lowest polymorph listed for this composition is 0.083 eV per atom. The calculation puts the volume at 188.5 Å³ per cell. As for the spin magnetization: 0.00 μB per cell.


[13]
First-principles (meta-GGA SCAN) data for BeAg2Se at its PBEsol-relaxed geometry, as listed in Alexandria.

abc: 3.2281 3.2281 6.0905
angles: 90.00 90.00 90.00
Last column: nearest neighbours and their distance in Å.
Sites, in units of the cell vectors:
Be1 0.0000 0.0000 0.0000  4 Se 2.46
Ag1 0.0000 0.0000 0.4636  4 Ag 2.79, 1 Be 2.82, 4 Se 2.98
Ag2 0.5000 0.5000 0.7282  1 Se 2.57, 4 Ag 2.79, 4 Be 2.82
Se1 0.5000 0.5000 0.1499  4 Be 2.46, 1 Ag 2.57

Its space group is P4mm, No. 99. The energy relative to the lowest polymorph listed for this composition is 0.000 eV per atom. The calculation puts the volume at 63.5 Å³ per cell. As for the spin magnetization: 0.00 μB per cell.


[14]
First-principles (meta-GGA SCAN) data for Be2AgSe at its PBEsol-relaxed geometry, as listed in Alexandria.

abc: 3.2895 4.6332 7.3613
angles: 90.00 90.00 90.00
Last column: nearest neighbours and their distance in Å.
Sites, in units of the cell vectors:
Be1 0.0000 0.0000 0.2352  2 Se 2.39, 2 Ag 2.55
Be2 0.0000 0.0000 0.7648  2 Se 2.39, 2 Ag 2.55
Be3 0.5000 0.5000 0.2648  2 Se 2.39, 2 Ag 2.55
Be4 0.5000 0.5000 0.7352  2 Se 2.39, 2 Ag 2.55
Ag1 0.0000 0.5000 0.0000  4 Be 2.55, 4 Se 2.84
Ag2 0.5000 0.0000 0.5000  4 Be 2.55, 4 Se 2.84
Se1 0.0000 0.5000 0.5000  4 Be 2.39
Se2 0.5000 0.0000 0.0000  4 Be 2.39

Its space group is Immm, No. 71. The calculation puts the volume at 112.2 Å³ per cell. As for the spin magnetization: 0.00 μB per cell. The calculation puts the energy at -14.520 eV/atom.


[15]
First-principles (meta-GGA SCAN) data for BeAg2Se at its PBEsol-relaxed geometry, as listed in Alexandria.

abc: 7.6682 2.8913 5.9778
angles: 90.00 101.18 90.00
Last column: nearest neighbours and their distance in Å.
Sites, in units of the cell vectors:
Be1 0.0000 0.0000 0.0000  6 Ag 2.42-2.56
Be2 0.5000 0.5000 0.0000  6 Ag 2.42-2.56
Ag1 0.2321 0.5000 0.1973  3 Be 2.42-2.56
Ag2 0.2679 0.0000 0.8027  3 Be 2.42-2.56
Ag3 0.7321 0.0000 0.1973  3 Be 2.42-2.56
Ag4 0.7679 0.5000 0.8027  3 Be 2.42-2.56
Se1 0.0000 0.5000 0.5000  6 Ag 2.77-2.85, 2 Se 2.89
Se2 0.5000 0.0000 0.5000  6 Ag 2.77-2.85, 2 Se 2.89

Its space group is C2/m, No. 12. The energy relative to the lowest polymorph listed for this composition is 0.031 eV per atom. The calculation puts the volume at 130.0 Å³ per cell. As for the spin magnetization: 0.00 μB per cell.